# PBEsol Li4V3Cr3Te2O16, relaxed
# E_tot = -212.2 eV per formula unit
# Space group = Cm (8)
# Energy relative to the elements, uncorrected = -1.915 eV per atom
data_Li4V3Cr3Te2O16
_chemical_formula_sum 'Li4 V3 Cr3 Te2 O16'
_cell_length_a 5.813
_cell_length_b 5.862
_cell_length_c 9.932
_cell_angle_alpha 89.49
_cell_angle_beta 90.00
_cell_angle_gamma 60.31
_symmetry_space_group_name_H-M 'P 1'
_symmetry_Int_Tables_number 1
_symmetry_space_group_name_Hall 'P 1'
loop_
_atom_site_label
_atom_site_fract_x
_atom_site_fract_y
_atom_site_fract_z
_atom_site_occupancy
O1 0.158 0.158 0.103 1
O2 0.844 0.312 0.605 1
O3 0.489 0.023 0.834 1
Cr1 0.342 0.827 0.217 1
O4 0.835 0.848 0.602 1
O5 0.000 0.000 0.307 1
O6 0.685 0.157 0.104 1
Li1 0.337 0.326 0.398 1
Te1 0.665 0.669 0.499 1
O7 0.330 0.341 0.605 1
V1 0.646 0.176 0.718 1
O8 0.317 0.848 0.602 1
O9 0.158 0.684 0.102 1
Li2 0.998 0.005 0.492 1
Cr2 0.167 0.666 0.717 1
O10 0.516 0.967 0.330 1
V2 0.178 0.176 0.718 1
Te2 0.332 0.335 0.002 1
O11 0.998 0.004 0.806 1
Li3 0.669 0.663 0.901 1
O12 0.027 0.484 0.826 1
O13 0.517 0.506 0.327 1
Li4 0.000 0.000 0.991 1
O14 0.978 0.506 0.327 1
V3 0.827 0.346 0.222 1
Cr3 0.831 0.827 0.217 1
O15 0.489 0.485 0.826 1
O16 0.669 0.661 0.109 1

# PBEsol Li4CrTeW2O12, relaxed
# E_tot = -151.0 eV per formula unit
# Space group = P1 (1)
# Energy relative to the elements, uncorrected = -1.938 eV per atom
data_Li4CrTeW2O12
_chemical_formula_sum 'Li8 Cr2 Te2 W4 O24'
_cell_length_a 5.089
_cell_length_b 5.385
_cell_length_c 14.864
_cell_angle_alpha 85.42
_cell_angle_beta 89.77
_cell_angle_gamma 90.03
_symmetry_space_group_name_H-M 'P 1'
_symmetry_Int_Tables_number 1
_symmetry_space_group_name_Hall 'P 1'
loop_
_atom_site_label
_atom_site_fract_x
_atom_site_fract_y
_atom_site_fract_z
_atom_site_occupancy
O1 0.120 0.034 0.375 1
O2 0.638 0.475 0.115 1
O3 0.822 0.681 0.783 1
Cr1 0.993 0.991 0.000 1
W1 0.492 0.504 0.497 1
O4 0.361 0.506 0.381 1
O5 0.322 0.874 0.211 1
O6 0.300 0.207 0.533 1
O7 0.182 0.316 0.719 1
Li1 0.994 0.396 0.364 1
Cr2 0.001 0.999 0.500 1
Te1 0.498 0.488 0.246 1
O8 0.695 0.805 0.478 1
O9 0.159 0.338 0.220 1
O10 0.370 0.491 0.870 1
Li2 0.494 0.067 0.900 1
O11 0.682 0.803 0.971 1
Li3 0.506 0.976 0.101 1
O12 0.889 0.005 0.631 1
W2 0.007 0.985 0.250 1
Li4 0.005 0.418 0.597 1
O13 0.207 0.703 0.534 1
O14 0.686 0.181 0.288 1
W3 0.005 0.991 0.750 1
O15 0.691 0.187 0.784 1
O16 0.786 0.293 0.967 1
W4 0.498 0.504 0.999 1
Li5 0.009 0.398 0.098 1
O17 0.105 0.005 0.872 1
O18 0.863 0.692 0.293 1
Te2 0.504 0.497 0.748 1
O19 0.322 0.819 0.718 1
O20 0.289 0.202 0.022 1
Li6 0.997 0.416 0.867 1
Li7 0.505 0.938 0.597 1
O21 0.636 0.508 0.628 1
O22 0.196 0.690 0.026 1
O23 0.795 0.305 0.478 1
Li8 0.498 0.020 0.390 1
O24 0.877 0.004 0.128 1